[1]
The following is a DFT calculation (meta-GGA SCAN) of a PBEsol-optimized structure of I.

Computed properties:
Crystal system ... orthorhombic
Energy above the most stable polymorph in this dataset ... 0.000 eV/atom
Electronic total energy ... -36.7416 eV/atom
Size of the total moment ... 0.0 Bohr magnetons per cell
ΔE_f (raw) ... 0 meV per atom

Lattice parameters (Å, degrees): 4.3254 4.3254 9.4235 90.00 90.00 114.34
With the nearest neighbours (Å) after each atom.
Atoms (fractional coordinates):
I1 0.8670 0.8670 0.2500  2 I 2.92
I2 0.1330 0.1330 0.7500  2 I 2.92
I3 0.5000 0.5000 0.0000  2 I 2.92
I4 0.5000 0.5000 0.5000  2 I 2.92

---

[2]
The following is a DFT calculation (meta-GGA SCAN) of a PBEsol-optimized structure of ErHS2O8.

Computed properties:
Crystal system ... monoclinic
Electronic total energy ... -12.3399 eV/atom
Size of the total moment ... 0.0 Bohr magnetons per cell
Fermi-level density of states ... 0.00 states/eV per cell

Lattice parameters (Å, degrees): 5.4800 10.4738 10.7661 90.00 90.00 103.53
With the nearest neighbours (Å) after each atom.
Atoms (fractional coordinates):
O1 0.0546 0.6000 0.2112  1 S 1.47
S1 0.8212 0.5034 0.1800  4 O 1.45-1.54
S2 0.1228 0.3242 0.4508  4 O 1.46-1.52
O2 0.7389 0.9627 0.0729  1 S 1.46
H1 0.2771 0.1245 0.4797  1 O 1.03
O3 0.6169 0.1917 0.0156  1 S 1.46
O4 0.6993 0.7320 0.4688  1 S 1.52, 1 H 1.58
S3 0.1788 0.4966 0.8200  4 O 1.45-1.54
S4 0.8772 0.6758 0.5492  4 O 1.46-1.52
O5 0.1169 0.6917 0.4844  1 S 1.46
O6 0.4454 0.9000 0.7112  1 S 1.47
S5 0.6228 0.8242 0.0492  4 O 1.46-1.52
Er1 0.3826 0.6579 0.3340  7 O 2.20-2.30
O7 0.1458 0.6301 0.8194  1 S 1.45
H2 0.2229 0.3755 0.9797  1 O 1.03
O8 0.9454 0.4000 0.7888  1 S 1.47
Er2 0.6174 0.3421 0.6660  7 O 2.20-2.30
O9 0.2389 0.4627 0.4271  1 S 1.46
H3 0.7771 0.6245 0.0203  1 O 1.03
Er3 0.8826 0.1579 0.1660  7 O 2.20-2.30
O10 0.2574 0.0275 0.4559  1 H 1.03
O11 0.7426 0.9725 0.5441  1 H 1.03
O12 0.2426 0.4725 0.9559  1 H 1.03
O13 0.6154 0.5166 0.2620  1 S 1.46
O14 0.8007 0.7680 0.9688  1 S 1.52, 1 H 1.58
O15 0.2611 0.0373 0.9271  1 S 1.46
H4 0.7229 0.8755 0.5203  1 O 1.03
O16 0.8542 0.3699 0.1806  1 S 1.45
O17 0.5912 0.7458 0.1636  1 S 1.47
O18 0.3831 0.8083 0.9844  1 S 1.46
O19 0.6458 0.1301 0.6806  1 S 1.45
S6 0.6788 0.9966 0.6800  4 O 1.45-1.54
S7 0.3772 0.1758 0.9508  4 O 1.46-1.52
Er4 0.1174 0.8421 0.8340  7 O 2.20-2.30
O20 0.3007 0.2680 0.5312  1 S 1.52, 1 H 1.58
O21 0.3846 0.4834 0.7380  1 S 1.46
O22 0.0912 0.2458 0.3364  1 S 1.47
O23 0.8831 0.3083 0.5156  1 S 1.46
O24 0.5546 0.1000 0.2888  1 S 1.47
O25 0.1993 0.2320 0.0312  1 S 1.52, 1 H 1.58
O26 0.9088 0.7542 0.6636  1 S 1.47
O27 0.8846 0.9834 0.7620  1 S 1.46
S8 0.3212 0.0034 0.3200  4 O 1.45-1.54
O28 0.7574 0.5275 0.0441  1 H 1.03
O29 0.3542 0.8699 0.3194  1 S 1.45
O30 0.7611 0.5373 0.5729  1 S 1.46
O31 0.1154 0.0166 0.2380  1 S 1.46
O32 0.4088 0.2542 0.8364  1 S 1.47